(1)
First-principles (PBE) data for an optimized crystal structure of La4SmTm3Se8, as listed in the Alexandria database.

Values from the calculation:
raw formation energy: -42.760 kcal/mol of atoms
Fermi-level density of states: 9.908 states/eV per cell

CIF file:
```
data_La4SmTm3Se8
_cell_length_a 8.287
_cell_length_b 8.458
_cell_length_c 8.286
_cell_angle_alpha 119.33
_cell_angle_beta 120.00
_cell_angle_gamma 90.00
_space_group_name_H-M_alt 'P 1'
_space_group_IT_number 1
loop_
_space_group_symop_operation_xyz
'x,y,z'
loop_
_atom_site_label
_atom_site_type_symbol
_atom_site_fract_x
_atom_site_fract_y
_atom_site_fract_z
_atom_site_occupancy
La1 La 0.500 0.000 0.000 1
La2 La 0.500 0.000 0.500 1
La3 La 0.000 0.000 0.000 1
La4 La 0.000 0.000 0.500 1
Sm1 Sm 0.000 0.500 0.000 1
Tm1 Tm 0.500 0.500 0.000 1
Tm2 Tm 0.500 0.500 0.500 1
Tm3 Tm 0.000 0.500 0.500 1
Se1 Se 0.247 0.729 0.983 1
Se2 Se 0.247 0.729 0.493 1
Se3 Se 0.258 0.275 0.517 1
Se4 Se 0.736 0.729 0.983 1
Se5 Se 0.264 0.271 0.017 1
Se6 Se 0.742 0.725 0.483 1
Se7 Se 0.753 0.271 0.507 1
Se8 Se 0.753 0.271 0.017 1
```

=====

(2)
First-principles (PBE) data for an optimized crystal structure of K2SiAs2, as listed in the Alexandria database.

Values from the calculation:
energy relative to the lowest polymorph listed for this composition: 123 meV/atom
raw formation energy: -7.839 kcal/mol of atoms

CIF file:
```
data_K2SiAs2
_cell_length_a 6.500
_cell_length_b 8.125
_cell_length_c 10.797
_cell_angle_alpha 128.51
_cell_angle_beta 90.00
_cell_angle_gamma 113.58
_space_group_name_H-M_alt 'P 1'
_space_group_IT_number 1
loop_
_space_group_symop_operation_xyz
'x,y,z'
loop_
_atom_site_label
_atom_site_type_symbol
_atom_site_fract_x
_atom_site_fract_y
_atom_site_fract_z
_atom_site_occupancy
K1 K 0.688 0.376 0.551 1
K2 K 0.312 0.624 0.449 1
K3 K 0.091 0.182 0.817 1
K4 K 0.909 0.818 0.183 1
Si1 Si 0.371 0.743 0.840 1
Si2 Si 0.629 0.257 0.160 1
As1 As 0.175 0.351 0.604 1
As2 As 0.825 0.649 0.396 1
As3 As 0.450 0.899 0.115 1
As4 As 0.550 0.101 0.885 1
```

=====

(3)
First-principles (PBE) data for an optimized crystal structure of VP2IrCl, as listed in the Alexandria database.

Values from the calculation:
energy relative to the lowest polymorph listed for this composition: 0 meV/atom
raw formation energy: 19.901 kcal/mol of atoms
Fermi-level density of states: 6.841 states/eV per cell

CIF file:
```
data_VP2IrCl
_cell_length_a 4.621
_cell_length_b 4.621
_cell_length_c 4.264
_cell_angle_alpha 90.00
_cell_angle_beta 90.00
_cell_angle_gamma 90.00
_space_group_name_H-M_alt 'P 1'
_space_group_IT_number 1
loop_
_space_group_symop_operation_xyz
'x,y,z'
loop_
_atom_site_label
_atom_site_type_symbol
_atom_site_fract_x
_atom_site_fract_y
_atom_site_fract_z
_atom_site_occupancy
Cl1 Cl 0.000 0.000 0.500 1
Ir1 Ir 0.500 0.500 0.500 1
P1 P 0.000 0.500 0.000 1
P2 P 0.500 0.000 0.000 1
V1 V 0.000 0.000 0.000 1
```

=====

(4)
First-principles (PBE) data for an optimized crystal structure of TlTeBr2, as listed in the Alexandria database.

Values from the calculation:
energy relative to the lowest polymorph listed for this composition: 233 meV/atom
raw formation energy: -1.783 kcal/mol of atoms
Fermi-level density of states: 3.550 states/eV per cell

CIF file:
```
data_TlTeBr2
_cell_length_a 9.939
_cell_length_b 9.939
_cell_length_c 9.939
_cell_angle_alpha 22.27
_cell_angle_beta 22.27
_cell_angle_gamma 22.27
_space_group_name_H-M_alt 'P 1'
_space_group_IT_number 1
loop_
_space_group_symop_operation_xyz
'x,y,z'
loop_
_atom_site_label
_atom_site_type_symbol
_atom_site_fract_x
_atom_site_fract_y
_atom_site_fract_z
_atom_site_occupancy
Tl1 Tl 0.750 0.750 0.750 1
Te1 Te 0.250 0.250 0.250 1
Br1 Br 0.004 0.004 0.004 1
Br2 Br 0.496 0.496 0.496 1
```

=====

(5)
First-principles (PBE) data for an optimized crystal structure of Rb3TbY2S6, as listed in the Alexandria database.

Values from the calculation:
raw formation energy: -42.850 kcal/mol of atoms
Fermi-level density of states: 0.000 states/eV per cell

CIF file:
```
data_Rb3TbY2S6
_cell_length_a 7.083
_cell_length_b 7.083
_cell_length_c 8.046
_cell_angle_alpha 98.44
_cell_angle_beta 98.44
_cell_angle_gamma 120.00
_space_group_name_H-M_alt 'P 1'
_space_group_IT_number 1
loop_
_space_group_symop_operation_xyz
'x,y,z'
loop_
_atom_site_label
_atom_site_type_symbol
_atom_site_fract_x
_atom_site_fract_y
_atom_site_fract_z
_atom_site_occupancy
Rb1 Rb 0.167 0.833 0.500 1
Rb2 Rb 0.833 0.167 0.500 1
Rb3 Rb 0.500 0.500 0.500 1
Tb1 Tb 0.000 0.000 0.000 1
Y1 Y 0.333 0.667 0.000 1
Y2 Y 0.667 0.333 0.000 1
S1 S 0.936 0.602 0.808 1
S2 S 0.730 0.730 0.192 1
S3 S 0.064 0.398 0.192 1
S4 S 0.602 0.936 0.808 1
S5 S 0.270 0.270 0.808 1
S6 S 0.398 0.064 0.192 1
```

=====

(6)
First-principles (PBE) data for an optimized crystal structure of MgBr, as listed in the Alexandria database.

Values from the calculation:
raw formation energy: -10.527 kcal/mol of atoms
Fermi-level density of states: 5.864 states/eV per cell

CIF file:
```
data_MgBr
_cell_length_a 5.979
_cell_length_b 5.979
_cell_length_c 5.979
_cell_angle_alpha 90.00
_cell_angle_beta 90.00
_cell_angle_gamma 90.00
_space_group_name_H-M_alt 'P 1'
_space_group_IT_number 1
loop_
_space_group_symop_operation_xyz
'x,y,z'
loop_
_atom_site_label
_atom_site_type_symbol
_atom_site_fract_x
_atom_site_fract_y
_atom_site_fract_z
_atom_site_occupancy
Mg1 Mg 0.439 0.939 0.561 1
Mg2 Mg 0.061 0.061 0.061 1
Mg3 Mg 0.561 0.439 0.939 1
Mg4 Mg 0.939 0.561 0.439 1
Br1 Br 0.131 0.631 0.869 1
Br2 Br 0.369 0.369 0.369 1
Br3 Br 0.869 0.131 0.631 1
Br4 Br 0.631 0.869 0.131 1
```

=====

(7)
First-principles (PBE) data for an optimized crystal structure of Pa2Te2Br, as listed in the Alexandria database.

Values from the calculation:
raw formation energy: -19.855 kcal/mol of atoms
Fermi-level density of states: 10.100 states/eV per cell

CIF file:
```
data_Pa2Te2Br
_cell_length_a 4.273
_cell_length_b 4.273
_cell_length_c 9.002
_cell_angle_alpha 103.73
_cell_angle_beta 103.73
_cell_angle_gamma 90.00
_space_group_name_H-M_alt 'P 1'
_space_group_IT_number 1
loop_
_space_group_symop_operation_xyz
'x,y,z'
loop_
_atom_site_label
_atom_site_type_symbol
_atom_site_fract_x
_atom_site_fract_y
_atom_site_fract_z
_atom_site_occupancy
Pa1 Pa 0.827 0.827 0.654 1
Pa2 Pa 0.173 0.173 0.346 1
Te1 Te 0.642 0.642 0.283 1
Te2 Te 0.358 0.358 0.717 1
Br1 Br 0.000 0.000 0.000 1
```

=====

(8)
First-principles (PBE) data for an optimized crystal structure of BaSm2Dy, as listed in the Alexandria database.

Values from the calculation:
energy relative to the lowest polymorph listed for this composition: 0 meV/atom
DFT formation energy: 0.128 eV/atom
Fermi-level density of states: 5.360 states/eV per cell

CIF file:
```
data_BaSm2Dy
_cell_length_a 3.741
_cell_length_b 3.741
_cell_length_c 10.837
_cell_angle_alpha 90.00
_cell_angle_beta 90.00
_cell_angle_gamma 90.00
_space_group_name_H-M_alt 'P 1'
_space_group_IT_number 1
loop_
_space_group_symop_operation_xyz
'x,y,z'
loop_
_atom_site_label
_atom_site_type_symbol
_atom_site_fract_x
_atom_site_fract_y
_atom_site_fract_z
_atom_site_occupancy
Ba1 Ba 0.500 0.500 0.500 1
Sm1 Sm 0.000 0.000 0.783 1
Sm2 Sm 0.000 0.000 0.217 1
Dy1 Dy 0.500 0.500 0.000 1
```

=====

Record-wise total magnetization values, in μB per formula unit: 0.00; 0.00; 1.10; 0.69; 0.00; 0.02; 2.03; 0.00